PrSi2C4: optimized geometry, PBE-GGA.

a b c (Å): 5.414 11.682 2.957
angles (deg): 90.00 90.00 90.00
Fractional coordinates of all 14 atoms:
Pr (0.000, 0.000, 0.000)
Pr (0.500, 0.500, 0.000)
Si (0.250, 0.250, 0.500)
Si (0.250, 0.750, 0.500)
Si (0.750, 0.250, 0.500)
Si (0.750, 0.750, 0.500)
C (0.000, 0.227, 0.000)
C (0.000, 0.773, 0.000)
C (0.116, 0.500, 0.500)
C (0.384, 0.000, 0.500)
C (0.500, 0.273, 0.000)
C (0.500, 0.727, 0.000)
C (0.616, 0.000, 0.500)
C (0.884, 0.500, 0.500)

* SG: Cmmm
* calculated density: 4.35 g/cm3
* VASP energy: -6.652 eV/atom

=====

Pr3SnC4: optimized geometry, PBE-GGA.

a b c (Å): 17.833 3.843 4.737
angles (deg): 90.00 105.32 90.00
Fractional coordinates of all 16 atoms:
Pr (0.000, 0.000, 0.000)
Pr (0.175, 0.000, 0.668)
Pr (0.325, 0.500, 0.332)
Pr (0.500, 0.500, 0.000)
Pr (0.675, 0.500, 0.668)
Pr (0.825, 0.000, 0.332)
Sn (0.000, 0.500, 0.500)
Sn (0.500, 0.000, 0.500)
C (0.108, 0.500, 0.241)
C (0.181, 0.500, 0.230)
C (0.319, 0.000, 0.770)
C (0.392, 0.000, 0.759)
C (0.608, 0.000, 0.241)
C (0.681, 0.000, 0.230)
C (0.819, 0.500, 0.770)
C (0.892, 0.500, 0.759)

* SG: C2/m
* calculated density: 6.25 g/cm3
* VASP energy: -6.807 eV/atom

=====

Pr3SnC: optimized geometry, PBE-GGA.

a b c (Å): 5.153 5.153 5.153
angles (deg): 90.00 90.00 90.00
Fractional coordinates of all 5 atoms:
Pr (0.000, 0.000, 0.500)
Pr (0.000, 0.500, 0.000)
Pr (0.500, 0.000, 0.000)
Sn (0.500, 0.500, 0.500)
C (0.000, 0.000, 0.000)

* SG: Pm-3m
* calculated density: 6.72 g/cm3
* VASP energy: -5.951 eV/atom

=====

PrSnC2: optimized geometry, PBE-GGA.

a b c (Å): 5.978 4.881 11.274
angles (deg): 90.00 104.54 90.00
Fractional coordinates of all 16 atoms:
Pr (0.000, 0.145, 0.000)
Pr (0.000, 0.855, 0.500)
Pr (0.500, 0.355, 0.500)
Pr (0.500, 0.645, 0.000)
Sn (0.382, 0.127, 0.774)
Sn (0.382, 0.873, 0.274)
Sn (0.882, 0.373, 0.274)
Sn (0.882, 0.627, 0.774)
C (0.152, 0.343, 0.591)
C (0.152, 0.657, 0.091)
C (0.436, 0.135, 0.095)
C (0.436, 0.865, 0.595)
C (0.652, 0.157, 0.091)
C (0.652, 0.843, 0.591)
C (0.936, 0.365, 0.595)
C (0.936, 0.635, 0.095)

* SG: Cc
* calculated density: 5.92 g/cm3
* VASP energy: -6.548 eV/atom

=====

PrTaC2: optimized geometry, PBE-GGA.

a b c (Å): 5.944 5.999 7.462
angles (deg): 90.00 97.29 90.00
Fractional coordinates of all 16 atoms:
Pr (0.000, 0.039, 0.000)
Pr (0.000, 0.961, 0.500)
Pr (0.500, 0.461, 0.500)
Pr (0.500, 0.539, 0.000)
Ta (0.025, 0.455, 0.700)
Ta (0.025, 0.545, 0.200)
Ta (0.525, 0.045, 0.200)
Ta (0.525, 0.955, 0.700)
C (0.288, 0.216, 0.780)
C (0.288, 0.784, 0.280)
C (0.413, 0.126, 0.941)
C (0.413, 0.874, 0.441)
C (0.788, 0.284, 0.280)
C (0.788, 0.716, 0.780)
C (0.913, 0.374, 0.441)
C (0.913, 0.626, 0.941)

* SG: Cc
* calculated density: 8.70 g/cm3
* VASP energy: -8.790 eV/atom

=====

Pr2Tc2C3: optimized geometry, PBE-GGA.

a b c (Å): 12.089 3.457 5.908
angles (deg): 90.00 117.17 90.00
Fractional coordinates of all 14 atoms:
Pr (0.105, 0.000, 0.312)
Pr (0.395, 0.500, 0.688)
Pr (0.605, 0.500, 0.312)
Pr (0.895, 0.000, 0.688)
Tc (0.162, 0.500, 0.818)
Tc (0.338, 0.000, 0.182)
Tc (0.662, 0.000, 0.818)
Tc (0.838, 0.500, 0.182)
C (0.000, 0.500, 0.500)
C (0.249, 0.000, 0.780)
C (0.251, 0.500, 0.220)
C (0.500, 0.000, 0.500)
C (0.749, 0.500, 0.780)
C (0.751, 0.000, 0.220)

* SG: C2/m
* calculated density: 7.77 g/cm3
* VASP energy: -8.463 eV/atom

=====

- Which formula does entry 3 have?
  Pr3SnC